Record 1
First-principles (PBE) data for crystalline LaGdGa4 at its relaxed geometry, as listed in OQMD.

a b c (Å): 4.3203 4.3203 8.1482
angles (deg): 90.00 90.00 120.00
Closest atoms and distances in Å follow each position.
Space group P-6m2 (No. 187)
One atom of each set of equivalent atoms:
1 La 0.0000 0.0000 0.0000 (multiplicity 1)  12 Ga 3.27-3.30
2 Gd 0.0000 0.0000 0.5000 (multiplicity 1)  12 Ga 3.15-3.17
3 Ga 0.3333 0.6667 0.2603 (multiplicity 2)  3 Ga 2.49
4 Ga 0.6667 0.3333 0.2648 (multiplicity 2)  3 Ga 2.49

Computed properties:
The energy relative to the lowest polymorph listed for this composition is 0.000 eV/atom. Its theoretical density is 7.3 Mg/m³.


Record 2
First-principles (PBE) data for crystalline PrGe2S at its relaxed geometry, as listed in OQMD.

a b c (Å): 3.8663 7.3649 6.4776
angles (deg): 90.00 90.00 90.00
Closest atoms and distances in Å follow each position.
Space group Pmc2_1 (No. 26)
One atom of each set of equivalent atoms:
1 Pr 0.0000 0.1697 0.0000 (multiplicity 2)  4 S 2.81-2.83
2 Ge 0.0000 0.3508 0.4755 (multiplicity 2)  4 Ge 2.73-2.77
3 Ge 0.5000 0.4885 0.7287 (multiplicity 2)  4 Ge 2.73-2.77
4 S 0.5000 0.0094 0.2610 (multiplicity 2)  4 Pr 2.81-2.83

Computed properties:
The energy relative to the lowest polymorph listed for this composition is 0.000 eV/atom. Its theoretical density is 5.7 Mg/m³.


Record 3
First-principles (PBE) data for crystalline YHfZnCu at its relaxed geometry, as listed in OQMD.

a b c (Å): 6.7757 6.7757 6.7757
angles (deg): 90.00 90.00 90.00
Closest atoms and distances in Å follow each position.
Space group F-43m (No. 216)
One atom of each set of equivalent atoms:
1 Y 0.0000 0.0000 0.0000 (multiplicity 4)  4 Zn 2.93, 4 Hf 2.93
2 Hf 0.2500 0.2500 0.7500 (multiplicity 4)  4 Y 2.93, 4 Cu 2.93
3 Zn 0.2500 0.2500 0.2500 (multiplicity 4)  4 Cu 2.93, 4 Y 2.93
4 Cu 0.0000 0.0000 0.5000 (multiplicity 4)  4 Hf 2.93, 4 Zn 2.93

Computed properties:
The raw total energy is -20.09 eV/f.u. Its theoretical density is 8.5 Mg/m³.


Record 4
First-principles (PBE) data for crystalline Zr4Ga3W2C3 at its relaxed geometry, as listed in OQMD.

a b c (Å): 9.6772 5.6093 14.0583
angles (deg): 90.00 103.45 90.00
Closest atoms and distances in Å follow each position.
Space group C2/c (No. 15)
One atom of each set of equivalent atoms:
1 Zr 0.1160 0.0777 0.0974 (multiplicity 8)  3 C 2.30-2.31
2 Zr 0.2144 0.0865 0.4026 (multiplicity 8)  3 C 2.30-2.31
3 Ga 0.0000 0.1397 0.7500 (multiplicity 4)  2 Ga 2.72, 2 W 2.79, 4 Zr 2.91
4 Ga 0.1411 0.4409 0.2482 (multiplicity 8)  2 Ga 2.72-2.74, 2 W 2.82-2.83, 4 Zr 2.91-2.92
5 W 0.0612 0.4132 0.9207 (multiplicity 8)  3 C 2.11-2.14
6 C 0.0807 0.2574 0.5001 (multiplicity 8)  2 W 2.14, 4 Zr 2.30
7 C 0.2500 0.2500 0.0000 (multiplicity 4)  2 W 2.11, 4 Zr 2.31

Computed properties:
The raw total energy is -103.77 eV/f.u. Its theoretical density is 8.8 Mg/m³.


Record 5
First-principles (PBE) data for crystalline Sc4Nb2As3C3 at its relaxed geometry, as listed in OQMD.

a b c (Å): 10.0454 5.8272 13.1655
angles (deg): 90.00 104.93 90.00
Closest atoms and distances in Å follow each position.
Space group C2/c (No. 15)
One atom of each set of equivalent atoms:
1 Sc 0.1165 0.0782 0.0993 (multiplicity 8)  3 C 2.32-2.35
2 Sc 0.2141 0.0870 0.4007 (multiplicity 8)  3 C 2.32-2.35
3 Nb 0.0560 0.4146 0.9115 (multiplicity 8)  3 C 2.19-2.21
4 As 0.0000 0.0979 0.7500 (multiplicity 4)  4 Sc 2.74-2.75, 2 Nb 2.76
5 As 0.1601 0.4241 0.2490 (multiplicity 8)  4 Sc 2.74-2.77, 2 Nb 2.77-2.78
6 C 0.0790 0.2624 0.5000 (multiplicity 8)  2 Nb 2.19, 4 Sc 2.32-2.35
7 C 0.2500 0.2500 0.0000 (multiplicity 4)  2 Nb 2.21, 4 Sc 2.33-2.34

Computed properties:
The raw total energy is -96.58 eV/f.u. Its theoretical density is 5.6 Mg/m³.


Record 6
First-principles (PBE) data for crystalline Sm2Al3Ga3 at its relaxed geometry, as listed in OQMD.

a b c (Å): 6.4393 4.5038 6.4506
angles (deg): 90.00 119.73 90.00
Closest atoms and distances in Å follow each position.
Space group Pm (No. 6)
One atom of each set of equivalent atoms:
1 Sm 0.0000 0.0000 0.0000 (multiplicity 1)  6 Ga 3.08-3.25, 6 Al 3.11-3.25
2 Sm 0.3327 0.5000 0.6712 (multiplicity 1)  6 Ga 3.09-3.24, 6 Al 3.14-3.26
3 Al 0.3846 0.5000 0.1981 (multiplicity 1)  3 Al 2.73, 3 Ga 2.75-2.77
4 Al 0.5269 0.0000 0.4737 (multiplicity 1)  2 Al 2.73, 4 Ga 2.74-2.75
5 Al 0.8084 0.5000 0.1984 (multiplicity 1)  1 Al 2.73, 5 Ga 2.74-2.76
6 Ga 0.5238 0.0000 0.0477 (multiplicity 1)  5 Al 2.74-2.77, 1 Ga 2.78
7 Ga 0.8077 0.5000 0.6247 (multiplicity 1)  4 Al 2.75, 2 Ga 2.79
8 Ga 0.9548 0.0000 0.4754 (multiplicity 1)  3 Al 2.74-2.75, 3 Ga 2.78-2.79

Computed properties:
The energy relative to the lowest polymorph listed for this composition is 0.006 eV/atom. Its theoretical density is 6.0 Mg/m³.


Record 7
First-principles (PBE) data for crystalline LuTlHgS3 at its relaxed geometry, as listed in OQMD.

a b c (Å): 7.9241 4.0428 10.5291
angles (deg): 90.00 109.13 90.00
Closest atoms and distances in Å follow each position.
Space group P2_1/m (No. 11)
One atom of each set of equivalent atoms:
1 Lu 0.1843 0.2500 0.1334 (multiplicity 2)  6 S 2.62-2.93
2 Tl 0.2280 0.7500 0.7257 (multiplicity 2)  5 S 3.15-3.52
3 Hg 0.4187 0.7500 0.3810 (multiplicity 2)  3 S 2.51-2.59
4 S 0.0467 0.2500 0.8708 (multiplicity 2)  3 Lu 2.62-2.72
5 S 0.2395 0.2500 0.4226 (multiplicity 2)  3 Hg 2.59-2.82
6 S 0.4204 0.7500 0.1429 (multiplicity 2)  1 Hg 2.51, 2 Lu 2.73

Computed properties:
The energy relative to the lowest polymorph listed for this composition is 0.041 eV/atom. Its theoretical density is 7.0 Mg/m³.


Record 8
First-principles (PBE) data for crystalline TmMgInSe3 at its relaxed geometry, as listed in OQMD.

a b c (Å): 4.1676 14.5484 11.0210
angles (deg): 90.00 90.00 90.00
Closest atoms and distances in Å follow each position.
Space group Cmcm (No. 63)
One atom of each set of equivalent atoms:
1 Tm 0.0000 0.0000 0.0000 (multiplicity 4)  6 Se 2.85-2.93
2 Mg 0.0000 0.4621 0.2500 (multiplicity 4)  4 Se 2.53-2.59
3 In 0.0000 0.2493 0.7500 (multiplicity 4)  6 Se 3.38-3.49, 2 Mg 3.72
4 Se 0.0000 0.0677 0.2500 (multiplicity 4)  2 Mg 2.59
5 Se 0.0000 0.3722 0.0535 (multiplicity 8)  1 Mg 2.53

Computed properties:
The raw total energy is -26.48 eV/f.u. Its theoretical density is 5.4 Mg/m³.


no.,magnetization (μB/f.u.)
1,0.0
2,0.0
3,1.6
4,0.0
5,0.0
6,0.0
7,0.0
8,0.0